A relaxed structure of Nb2PPb, computed with PBE.

Cell lengths 4.117, 4.117, 10.092 Å; angles 78.23, 78.23, 90.00 degrees
Positions (direct):
Pb1 0.000 0.000 0.000
Pb2 0.750 0.250 0.500
P1 0.250 0.750 0.500
P2 0.500 0.500 0.000
Nb1 0.875 0.846 0.750
Nb2 0.596 0.125 0.250
Nb3 0.154 0.625 0.250
Nb4 0.375 0.404 0.750

Results
ΔE_f	1.627	eV/f.u.
energy relative to the lowest polymorph listed for this composition	0.2475	eV per atom
E	-6.908	eV/atom